Entry 1:
VASP calculation (GGA-PBEsol) on K4SrSi3O9 after structural relaxation.

Unit cell a=10.9922 b=7.9509 c=11.9087 alpha=90.00 beta=90.00 gamma=90.00
Space group Ama2 (No. 40)
Inequivalent atoms, fractional coordinates:
K 0.0000 0.0000 0.0000
K 0.0000 0.0000 0.4396
K 0.2500 0.0557 0.6550
K 0.2500 0.2233 0.9479
Sr 0.2500 0.4898 0.7086
Si 0.0310 0.3057 0.2285
Si 0.2500 0.2770 0.4075
O 0.0000 0.0000 0.6799
O 0.0915 0.2802 0.7764
O 0.1041 0.2111 0.1300
O 0.1280 0.3418 0.3352
O 0.2500 0.0737 0.4167
O 0.2500 0.3786 0.5238

The density of states at the Fermi level comes out at 0.000 states/eV/atom. The energy relative to the elements, uncorrected is -2567 meV/atom.

=====

Entry 2:
VASP calculation (GGA-PBEsol) on K2TiSi6O15 after structural relaxation.

Unit cell a=12.5903 b=7.2675 c=15.2246 alpha=90.00 beta=106.41 gamma=90.00
Space group Cc (No. 9)
Inequivalent atoms, fractional coordinates:
K 0.0000 0.0643 0.0000
K 0.4644 0.1760 0.1858
Ti 0.2078 0.2471 0.6138
Si 0.0057 0.4485 0.4571
Si 0.1684 0.0891 0.2486
Si 0.2314 0.4335 0.9690
Si 0.2742 0.0181 0.9531
Si 0.2747 0.4552 0.2795
Si 0.4422 0.2785 0.7680
O 0.0566 0.3223 0.5451
O 0.0597 0.2163 0.2442
O 0.0960 0.3982 0.9419
O 0.1360 0.0483 0.6632
O 0.1899 0.4085 0.7121
O 0.2050 0.0229 0.8453
O 0.2080 0.0869 0.5130
O 0.2644 0.4632 0.3846
O 0.2663 0.2385 0.2471
O 0.2738 0.4445 0.5600
O 0.2941 0.2342 0.9865
O 0.3524 0.1714 0.6881
O 0.3992 0.0691 0.4677
O 0.4044 0.4907 0.7846
O 0.4617 0.1735 0.8652

The density of states at the Fermi level comes out at 0.000 states/eV/atom. The energy relative to the elements, uncorrected is -2772 meV/atom.

=====

Entry 3:
VASP calculation (GGA-PBEsol) on K2TiSi6O15 after structural relaxation.

Unit cell a=6.9454 b=7.3011 c=7.5156 alpha=99.07 beta=105.91 gamma=112.96
Space group P-1 (No. 2)
Inequivalent atoms, fractional coordinates:
K 0.2148 0.2839 0.1812
Ti 0.5000 0.0000 0.0000
Si 0.1881 0.5052 0.6881
Si 0.1946 0.8105 0.2545
Si 0.3535 0.1674 0.6282
O 0.0000 0.5000 0.5000
O 0.0544 0.3919 0.8217
O 0.1968 0.9897 0.4177
O 0.2348 0.8950 0.0765
O 0.2967 0.3622 0.6078
O 0.3296 0.0876 0.8107
O 0.3816 0.7364 0.3551
O 0.3863 0.7322 0.8111

The density of states at the Fermi level comes out at 0.000 states/eV/atom. The energy relative to the elements, uncorrected is -2773 meV/atom.

=====

Entry 4:
VASP calculation (GGA-PBEsol) on K2TiSi6O15 after structural relaxation.

Unit cell a=6.9561 b=12.8498 c=7.6898 alpha=90.00 beta=106.39 gamma=90.00
Space group P2_1 (No. 4)
Inequivalent atoms, fractional coordinates:
K 0.1762 0.0000 0.4259
K 0.1947 0.2963 0.1533
Ti 0.2453 0.6569 0.7509
Si 0.0096 0.7282 0.3293
Si 0.0135 0.5634 0.0415
Si 0.3050 0.8992 0.9310
Si 0.3278 0.3966 0.7079
Si 0.4516 0.7397 0.4445
Si 0.4563 0.5711 0.1656
O 0.0239 0.6132 0.8536
O 0.0277 0.6790 0.5242
O 0.0751 0.1466 0.8389
O 0.1302 0.3319 0.7226
O 0.1354 0.9625 0.0007
O 0.2025 0.7972 0.8276
O 0.2283 0.7718 0.3174
O 0.2354 0.5223 0.1638
O 0.2677 0.5155 0.6667
O 0.3836 0.9740 0.7907
O 0.4060 0.3430 0.5449
O 0.4394 0.6282 0.9766
O 0.4517 0.7074 0.6458
O 0.4609 0.1454 0.6556
O 0.5002 0.3762 0.8983

The density of states at the Fermi level comes out at 0.000 states/eV/atom. The energy relative to the elements, uncorrected is -2774 meV/atom.

=====

Entry 5:
VASP calculation (GGA-PBEsol) on K3TmSi2O7 after structural relaxation.

Unit cell a=9.7699 b=9.7699 c=14.2565 alpha=90.00 beta=90.00 gamma=120.00
Space group P6_3/mcm (No. 193)
Inequivalent atoms, fractional coordinates:
K 0.0000 0.0000 0.0000
K 0.0000 0.3329 0.0910
K 0.3333 0.6667 0.2500
Tm 0.0000 0.0000 0.2500
Tm 0.3333 0.6667 0.0000
Si 0.0000 0.3419 0.6423
O 0.0000 0.1753 0.6490
O 0.0000 0.4116 0.7500
O 0.1576 0.4791 0.5902

The density of states at the Fermi level comes out at 0.000 states/eV/atom. The energy relative to the elements, uncorrected is -2755 meV/atom.

=====

Entry 6:
VASP calculation (GGA-PBEsol) on K2Zn2Si8O19 after structural relaxation.

Unit cell a=13.8632 b=5.0989 c=12.4816 alpha=90.00 beta=107.09 gamma=90.00
Space group C2 (No. 5)
Inequivalent atoms, fractional coordinates:
K 0.1217 0.0000 0.1475
Zn 0.2000 0.0427 0.9118
Si 0.0037 0.6763 0.6671
Si 0.0739 0.5331 0.9256
Si 0.1254 0.1881 0.4254
Si 0.2054 0.9518 0.6607
O 0.0000 0.6358 0.0000
O 0.0143 0.6429 0.7994
O 0.0356 0.4046 0.3985
O 0.0800 0.9052 0.3758
O 0.0842 0.2199 0.9324
O 0.1084 0.7569 0.6448
O 0.1781 0.1686 0.5592
O 0.1825 0.6857 0.9667
O 0.2050 0.2618 0.3576
O 0.2431 0.0835 0.7818

The density of states at the Fermi level comes out at 0.000 states/eV/atom. The energy relative to the elements, uncorrected is -2579 meV/atom.

=====

Entry 7:
VASP calculation (GGA-PBEsol) on K2ZnSiO4 after structural relaxation.

Unit cell a=10.8642 b=5.4104 c=15.5937 alpha=90.00 beta=90.00 gamma=90.00
Space group Pca2_1 (No. 29)
Inequivalent atoms, fractional coordinates:
K 0.0151 0.0067 0.0000
K 0.0161 0.5058 0.6232
K 0.2334 0.0531 0.3760
K 0.2384 0.5504 0.2441
Zn 0.0092 0.0095 0.7503
Zn 0.2409 0.5359 0.4974
Si 0.0078 0.5122 0.8726
Si 0.2348 0.0320 0.1264
O 0.0130 0.7832 0.3515
O 0.0256 0.3298 0.2851
O 0.0827 0.4120 0.4533
O 0.1042 0.9037 0.1578
O 0.1514 0.5771 0.8992
O 0.1768 0.0693 0.7111
O 0.2023 0.3026 0.0839
O 0.2016 0.8487 0.5548

The density of states at the Fermi level comes out at 0.000 states/eV/atom. The energy relative to the elements, uncorrected is -2145 meV/atom.

=====

Entry 8:
VASP calculation (GGA-PBEsol) on K2ZrSi3O9 after structural relaxation.

Unit cell a=6.9209 b=6.9209 c=10.2711 alpha=90.00 beta=90.00 gamma=120.00
Space group P6_3/m (No. 176)
Inequivalent atoms, fractional coordinates:
K 0.3333 0.6667 0.0547
Zr 0.0000 0.0000 0.0000
Si 0.1229 0.7382 0.7500
O 0.0139 0.7605 0.6161
O 0.0873 0.4824 0.7500

The density of states at the Fermi level comes out at 0.000 states/eV/atom. The energy relative to the elements, uncorrected is -2842 meV/atom.

=====

Entry 9:
VASP calculation (GGA-PBEsol) on KSmTiO4 after structural relaxation.

Unit cell a=13.0841 b=5.4310 c=5.3476 alpha=90.00 beta=90.00 gamma=90.00
Space group Pbcm (No. 57)
Inequivalent atoms, fractional coordinates:
K 0.0944 0.0162 0.2500
Sm 0.3971 0.0200 0.2500
Ti 0.2500 0.5057 0.2500
O 0.1163 0.5250 0.2500
O 0.2713 0.2500 0.0000
O 0.2917 0.7500 0.0000
O 0.4346 0.0551 0.7500

The density of states at the Fermi level comes out at 0.000 states/eV/atom. The energy relative to the elements, uncorrected is -3017 meV/atom.

=====

| no. | uncorrected energy (eV per atom) | spin magnetization (μB per atom) |
| --- | --- | --- |
| 1 | -6.7355 | 0.0000 |
| 2 | -7.9308 | 0.0000 |
| 3 | -7.9315 | 0.0000 |
| 4 | -7.9331 | 0.0000 |
| 5 | -7.1041 | 0.0000 |
| 6 | -7.4542 | 0.0000 |
| 7 | -5.9696 | 0.0000 |
| 8 | -7.8983 | 0.0000 |
| 9 | -8.0945 | 0.0000 |